Material: Hf4Ta2Ni3C3
Method: DFT, GGA-PBE
State: optimized geometry

abc: 9.6245 5.5475 13.3028
angles: 90.00 104.14 90.00
Space group C2/c (No. 15)
Unique sites:
Hf (0.1192, 0.0804, 0.1077) x8
Hf (0.2123, 0.0861, 0.3924) x8
Ta (0.0555, 0.4140, 0.9113) x8
Ni (0.0000, 0.1355, 0.7500) x4
Ni (0.1384, 0.4460, 0.2499) x8
C (0.0826, 0.2519, 0.5000) x8
C (0.2500, 0.2500, 0.0000) x4

Its total DFT energy (no corrections) is -9.503 eV/atom.